# 1
## IrPbF3 (PBE)

Data for a relaxed IrPbF3 crystal.

Calculated values
- magnetic moment (μB per formula unit) = 3.8
- SG = Pm-3m (221)
- energy above the lowest structure with this stoichiometry (meV per atom) = 364
- ΔE_f (raw) (eV per atom) = -0.427
- final energy (eV per atom) = -4.06

Lattice parameters (Å, degrees): 4.730 4.730 4.730 90.00 90.00 90.00
Each line ends with the local moment (μB).
Element x y z (fractional)
F (0.000, 0.000, 0.500)  0.07
F (0.500, 0.000, 0.000)  0.07
F (0.000, 0.500, 0.000)  0.09
Pb (0.000, 0.000, 0.000)  0.04
Ir (0.500, 0.500, 0.500)  3.00


# 2
## IrPb2F (PBE)

Data for a relaxed IrPb2F crystal.

Calculated values
- magnetic moment (μB per formula unit) = 0.0
- SG = Fm-3m (225)
- energy above the lowest structure with this stoichiometry (meV per atom) = 0
- ΔE_f (raw) (eV per atom) = -0.420
- final energy (eV per atom) = -4.96

Lattice parameters (Å, degrees): 4.801 4.801 4.801 60.00 60.00 60.00
Element x y z (fractional)
Pb (0.750, 0.750, 0.750)
Pb (0.250, 0.250, 0.250)
F (0.000, 0.000, 0.000)
Ir (0.500, 0.500, 0.500)


# 3
## IrPbF2 (PBE)

Data for a relaxed IrPbF2 crystal.

Calculated values
- magnetic moment (μB per formula unit) = 0.5
- SG = R-3m (166)
- energy above the lowest structure with this stoichiometry (meV per atom) = 0
- ΔE_f (raw) (eV per atom) = -0.753
- final energy (eV per atom) = -4.83

Lattice parameters (Å, degrees): 8.346 8.346 8.346 20.92 20.92 20.92
Each line ends with the local moment (μB).
Element x y z (fractional)
Ir (0.000, 0.000, 0.000)  0.43
F (0.083, 0.083, 0.083)  0.02
F (0.917, 0.917, 0.917)  0.02
Pb (0.500, 0.500, 0.500)  0.00


# 4
## Ir2PbF (PBE)

Data for a relaxed Ir2PbF crystal.

Calculated values
- magnetic moment (μB per formula unit) = 0.0
- SG = I-42d (122)
- energy above the lowest structure with this stoichiometry (meV per atom) = 0
- ΔE_f (raw) (eV per atom) = -0.057
- final energy (eV per atom) = -5.88

Lattice parameters (Å, degrees): 3.574 3.574 12.142 81.54 81.54 90.00
Element x y z (fractional)
Pb (0.750, 0.250, 0.500)
Pb (0.000, 0.000, 0.000)
Ir (0.125, 0.625, 0.250)
Ir (0.375, 0.375, 0.750)
Ir (0.875, 0.875, 0.750)
Ir (0.625, 0.125, 0.250)
F (0.500, 0.500, 0.000)
F (0.250, 0.750, 0.500)